1.
Pr5InAu | PBE | relaxed

a = 6.1518 Å, b = 6.1518 Å, c = 12.1594 Å
α = 79.63°, β = 79.63°, γ = 86.33°
Sites, in units of the cell vectors:
Pr (0.9250, 0.5471, 0.1349)
Pr (0.2276, 0.5136, 0.5583)
Pr (0.5471, 0.9250, 0.6349)
Pr (0.0092, 0.9908, 0.2500)
Pr (0.4864, 0.7724, 0.9417)
Pr (0.5136, 0.2276, 0.0583)
Pr (0.9908, 0.0092, 0.7500)
Pr (0.4529, 0.0750, 0.3651)
Pr (0.7724, 0.4864, 0.4417)
Pr (0.0750, 0.4529, 0.8651)
In (0.3971, 0.6029, 0.2500)
In (0.6029, 0.3971, 0.7500)
Au (0.0000, 0.0000, 0.0000)
Au (0.0000, 0.0000, 0.5000)

## Properties
Formation enthalpy at 0 K ... -23.70 kJ/mol of atoms
Size of the total moment ... 0.00 μB/f.u.
Uncorrected energy ... -63.3 eV per cell
Crystal system ... monoclinic
SG ... C2/c, No. 15

---

2.
Pr3InAu4 | PBE | relaxed

a = 4.0320 Å, b = 7.2792 Å, c = 8.5589 Å
α = 115.17°, β = 103.62°, γ = 90.00°
Sites, in units of the cell vectors:
Pr (0.1876, 0.1876, 0.3751)
Pr (0.8124, 0.8124, 0.6249)
Pr (0.0000, 0.5000, 0.0000)
In (0.5000, 0.0000, 0.0000)
Au (0.3692, 0.1719, 0.7384)
Au (0.6308, 0.8281, 0.2616)
Au (0.6308, 0.4335, 0.2616)
Au (0.3692, 0.5665, 0.7384)

## Properties
Formation enthalpy at 0 K ... -60.92 kJ/mol of atoms
Size of the total moment ... 0.00 μB/f.u.
Uncorrected energy ... -35.2 eV per cell
Crystal system ... orthorhombic
SG ... Immm, No. 71

---

3.
PrInAu5 | PBE | relaxed

a = 5.7635 Å, b = 9.0944 Å, c = 11.3586 Å
α = 90.00°, β = 90.00°, γ = 90.00°
Sites, in units of the cell vectors:
Pr (0.2500, 0.2473, 0.9476)
Pr (0.7500, 0.2527, 0.4476)
Pr (0.2500, 0.7473, 0.5524)
Pr (0.7500, 0.7527, 0.0524)
In (0.2500, 0.8488, 0.8475)
In (0.7500, 0.6512, 0.3475)
In (0.2500, 0.3488, 0.6525)
In (0.7500, 0.1512, 0.1525)
Au (0.2500, 0.5958, 0.0205)
Au (0.7500, 0.9042, 0.5205)
Au (0.2500, 0.0958, 0.4795)
Au (0.7500, 0.4042, 0.9795)
Au (0.7500, 0.3204, 0.7248)
Au (0.2500, 0.1796, 0.2248)
Au (0.7500, 0.8204, 0.7752)
Au (0.2500, 0.6796, 0.2752)
Au (0.2500, 0.9238, 0.0777)
Au (0.7500, 0.5762, 0.5777)
Au (0.2500, 0.4238, 0.4223)
Au (0.7500, 0.0762, 0.9223)
Au (0.9903, 0.4364, 0.1987)
Au (0.0097, 0.0636, 0.6987)
Au (0.5097, 0.9364, 0.3013)
Au (0.4903, 0.5636, 0.8013)
Au (0.0097, 0.5636, 0.8013)
Au (0.9903, 0.9364, 0.3013)
Au (0.4903, 0.0636, 0.6987)
Au (0.5097, 0.4364, 0.1987)

## Properties
Formation enthalpy at 0 K ... -42.05 kJ/mol of atoms
Size of the total moment ... 0.00 μB/f.u.
Uncorrected energy ... -107.8 eV per cell
Crystal system ... orthorhombic
SG ... Pnma, No. 62

---

4.
Pr3In4Au2 | PBE | relaxed

a = 4.8696 Å, b = 6.2537 Å, c = 9.0083 Å
α = 72.18°, β = 74.32°, γ = 67.09°
Sites, in units of the cell vectors:
Pr (0.3228, 0.7062, 0.6481)
Pr (0.0000, 0.0000, 0.0000)
Pr (0.6772, 0.2938, 0.3519)
In (0.2626, 0.3951, 0.0798)
In (0.7374, 0.6049, 0.9202)
In (0.0254, 0.3087, 0.6405)
In (0.9746, 0.6913, 0.3595)
Au (0.4011, 0.9277, 0.2700)
Au (0.5989, 0.0723, 0.7300)

## Properties
Formation enthalpy at 0 K ... -59.70 kJ/mol of atoms
Size of the total moment ... 0.00 μB/f.u.
Uncorrected energy ... -37.4 eV per cell
Crystal system ... monoclinic
SG ... C2/m, No. 12

---

5.
Pr3In2Au2 | PBE | relaxed

a = 4.5842 Å, b = 3.6904 Å, c = 11.4848 Å
α = 90.00°, β = 78.49°, γ = 90.00°
Sites, in units of the cell vectors:
Pr (0.8347, 0.0000, 0.3306)
Pr (0.0000, 0.0000, 0.0000)
Pr (0.1653, 0.0000, 0.6694)
In (0.5792, 0.5000, 0.8416)
In (0.4208, 0.5000, 0.1584)
Au (0.7123, 0.5000, 0.5754)
Au (0.2877, 0.5000, 0.4246)

## Properties
Formation enthalpy at 0 K ... -61.82 kJ/mol of atoms
Size of the total moment ... 0.00 μB/f.u.
Uncorrected energy ... -30.9 eV per cell
Crystal system ... orthorhombic
SG ... Cmmm, No. 65

---

6.
Pr2InAu | PBE | relaxed

a = 4.0542 Å, b = 4.0542 Å, c = 9.1039 Å
α = 77.13°, β = 77.13°, γ = 60.00°
Sites, in units of the cell vectors:
Pr (0.2580, 0.2580, 0.2259)
Pr (0.7420, 0.7420, 0.7741)
Au (0.0000, 0.0000, 0.0000)
In (0.5000, 0.5000, 0.5000)

## Properties
Formation enthalpy at 0 K ... -42.13 kJ/mol of atoms
Size of the total moment ... 0.00 μB/f.u.
Uncorrected energy ... -17.3 eV per cell
Crystal system ... trigonal
SG ... R-3m, No. 166

---

7.
Pr6In3Au | PBE | relaxed

a = 5.4225 Å, b = 9.4937 Å, c = 12.2905 Å
α = 90.00°, β = 89.98°, γ = 90.00°
Sites, in units of the cell vectors:
Pr (0.5000, 0.1629, 0.9145)
Pr (0.5000, 0.1745, 0.5849)
Pr (0.5000, 0.4950, 0.2565)
Pr (0.5000, 0.5050, 0.7435)
Pr (0.5000, 0.8255, 0.4151)
Pr (0.5000, 0.8371, 0.0855)
Pr (0.0000, 0.3371, 0.4145)
Pr (0.0000, 0.3255, 0.0849)
Pr (0.0000, 0.0050, 0.7565)
Pr (0.0000, 0.9950, 0.2435)
Pr (0.0000, 0.6745, 0.9151)
Pr (0.0000, 0.6629, 0.5855)
In (0.5000, 0.8376, 0.7291)
In (0.5000, 0.5000, 0.0000)
In (0.5000, 0.1624, 0.2709)
In (0.0000, 0.6624, 0.2291)
In (0.0000, 0.0000, 0.5000)
In (0.0000, 0.3376, 0.7709)
Au (0.5000, 0.5000, 0.5000)
Au (0.0000, 0.0000, 0.0000)

## Properties
Formation enthalpy at 0 K ... -36.12 kJ/mol of atoms
Size of the total moment ... 0.00 μB/f.u.
Uncorrected energy ... -87.8 eV per cell
Crystal system ... orthorhombic
SG ... Pnnm, No. 58

---

8.
PrIn2Au2 | PBE | relaxed

a = 4.3768 Å, b = 4.3768 Å, c = 7.0422 Å
α = 108.10°, β = 108.10°, γ = 90.00°
Sites, in units of the cell vectors:
Pr (0.0000, 0.0000, 0.0000)
In (0.7500, 0.2500, 0.5000)
In (0.2500, 0.7500, 0.5000)
Au (0.6067, 0.6067, 0.2134)
Au (0.3933, 0.3933, 0.7866)

## Properties
Formation enthalpy at 0 K ... -52.02 kJ/mol of atoms
Size of the total moment ... 0.00 μB/f.u.
Uncorrected energy ... -19.5 eV per cell
Crystal system ... tetragonal
SG ... I4/mmm, No. 139

---

9.
Pr3In7Au4 | PBE | relaxed

a = 4.6465 Å, b = 9.0013 Å, c = 9.0932 Å
α = 71.38°, β = 75.20°, γ = 75.04°
Sites, in units of the cell vectors:
Pr (0.3124, 0.1826, 0.1925)
Pr (0.6876, 0.8174, 0.8075)
Pr (0.0000, 0.5000, 0.5000)
In (0.3233, 0.8202, 0.5333)
In (0.4961, 0.2135, 0.7943)
In (0.8383, 0.3928, 0.9306)
In (0.6767, 0.1798, 0.4667)
In (0.1617, 0.6072, 0.0694)
In (0.0000, 0.0000, 0.0000)
In (0.5039, 0.7865, 0.2057)
Au (0.6513, 0.4610, 0.2365)
Au (0.3487, 0.5390, 0.7635)
Au (0.8725, 0.9048, 0.3502)
Au (0.1275, 0.0952, 0.6498)

## Properties
Formation enthalpy at 0 K ... -52.22 kJ/mol of atoms
Size of the total moment ... 0.00 μB/f.u.
Uncorrected energy ... -54.2 eV per cell
Crystal system ... monoclinic
SG ... C2/m, No. 12

---

10.
PrIn4Au2 | PBE | relaxed

a = 4.6970 Å, b = 7.5667 Å, c = 18.7786 Å
α = 90.00°, β = 90.00°, γ = 90.00°
Sites, in units of the cell vectors:
Pr (0.7500, 0.0259, 0.1426)
Pr (0.7500, 0.4741, 0.6426)
Pr (0.2500, 0.5259, 0.3574)
Pr (0.2500, 0.9741, 0.8574)
In (0.2500, 0.7346, 0.1878)
In (0.2500, 0.7654, 0.6878)
In (0.7500, 0.2346, 0.3122)
In (0.2500, 0.5163, 0.9332)
In (0.2500, 0.1750, 0.6848)
In (0.7500, 0.6750, 0.8152)
In (0.7500, 0.3613, 0.4654)
In (0.7500, 0.2654, 0.8122)
In (0.7500, 0.0163, 0.5668)
In (0.2500, 0.8613, 0.0346)
In (0.7500, 0.8250, 0.3152)
In (0.7500, 0.4837, 0.0668)
In (0.2500, 0.3250, 0.1848)
In (0.2500, 0.6387, 0.5346)
In (0.7500, 0.1387, 0.9654)
In (0.2500, 0.9837, 0.4332)
Au (0.2500, 0.2548, 0.5379)
Au (0.2500, 0.4669, 0.7821)
Au (0.7500, 0.7548, 0.9621)
Au (0.7500, 0.9669, 0.7179)
Au (0.2500, 0.2452, 0.0379)
Au (0.7500, 0.7452, 0.4621)
Au (0.2500, 0.0331, 0.2821)
Au (0.7500, 0.5331, 0.2179)

## Properties
Formation enthalpy at 0 K ... -41.29 kJ/mol of atoms
Size of the total moment ... 0.00 μB/f.u.
Uncorrected energy ... -101.1 eV per cell
Crystal system ... orthorhombic
SG ... Pnma, No. 62
Distance to the lowest polymorph of the same formula ... 0 meV/atom

---

11.
PrInAu6 | PBE | relaxed

a = 5.5200 Å, b = 5.5200 Å, c = 5.5200 Å
α = 90.00°, β = 90.00°, γ = 90.00°
Sites, in units of the cell vectors:
Pr (0.5000, 0.5000, 0.5000)
In (0.0000, 0.0000, 0.0000)
Au (0.5000, 0.7529, 0.0000)
Au (0.7529, 0.0000, 0.5000)
Au (0.0000, 0.5000, 0.2471)
Au (0.2471, 0.0000, 0.5000)
Au (0.5000, 0.2471, 0.0000)
Au (0.0000, 0.5000, 0.7529)

## Properties
Formation enthalpy at 0 K ... -31.04 kJ/mol of atoms
Size of the total moment ... 0.00 μB/f.u.
Uncorrected energy ... -29.8 eV per cell
Crystal system ... cubic
SG ... Pm-3, No. 200
Distance to the lowest polymorph of the same formula ... 19 meV/atom

---

12.
PrIn3Au4 | PBE | relaxed

a = 4.6971 Å, b = 4.6971 Å, c = 9.8208 Å
α = 76.16°, β = 76.16°, γ = 60.00°
Sites, in units of the cell vectors:
Pr (0.0000, 0.0000, 0.0000)
Au (0.8733, 0.8733, 0.3802)
Au (0.3893, 0.3893, 0.8321)
Au (0.1267, 0.1267, 0.6198)
Au (0.6107, 0.6107, 0.1679)
In (0.2487, 0.2487, 0.2538)
In (0.7513, 0.7513, 0.7462)
In (0.5000, 0.5000, 0.5000)

## Properties
Formation enthalpy at 0 K ... -39.50 kJ/mol of atoms
Size of the total moment ... 0.00 μB/f.u.
Uncorrected energy ... -29.4 eV per cell
Crystal system ... trigonal
SG ... R-3m, No. 166

---

13.
Pr5In4Au | PBE | relaxed

a = 3.7237 Å, b = 3.7237 Å, c = 20.9421 Å
α = 90.00°, β = 90.00°, γ = 90.00°
Sites, in units of the cell vectors:
Pr (0.5000, 0.5000, 0.0902)
Pr (0.5000, 0.5000, 0.2954)
Pr (0.5000, 0.5000, 0.5000)
Pr (0.5000, 0.5000, 0.7046)
Pr (0.5000, 0.5000, 0.9098)
In (0.0000, 0.0000, 0.1921)
In (0.0000, 0.0000, 0.3975)
In (0.0000, 0.0000, 0.6025)
In (0.0000, 0.0000, 0.8079)
Au (0.0000, 0.0000, 0.0000)

## Properties
Formation enthalpy at 0 K ... -52.39 kJ/mol of atoms
Size of the total moment ... 0.00 μB/f.u.
Uncorrected energy ... -43.6 eV per cell
Crystal system ... tetragonal
SG ... P4/mmm, No. 123

---

14.
PrIn6Au12 | PBE | relaxed

a = 7.8274 Å, b = 7.8274 Å, c = 7.8274 Å
α = 105.21°, β = 105.21°, γ = 105.21°
Sites, in units of the cell vectors:
Pr (0.0000, 0.0000, 0.0000)
In (0.6976, 0.2935, 0.2935)
In (0.2935, 0.2935, 0.6976)
In (0.2935, 0.6976, 0.2935)
In (0.7065, 0.7065, 0.3024)
In (0.3024, 0.7065, 0.7065)
In (0.7065, 0.3024, 0.7065)
Au (0.8874, 0.1126, 0.5000)
Au (0.8904, 0.6474, 0.6474)
Au (0.6474, 0.6474, 0.8904)
Au (0.3526, 0.1096, 0.3526)
Au (0.3526, 0.3526, 0.1096)
Au (0.1096, 0.3526, 0.3526)
Au (0.1126, 0.5000, 0.8874)
Au (0.5000, 0.8874, 0.1126)
Au (0.1126, 0.8874, 0.5000)
Au (0.8874, 0.5000, 0.1126)
Au (0.5000, 0.1126, 0.8874)
Au (0.6474, 0.8904, 0.6474)

## Properties
Formation enthalpy at 0 K ... -19.33 kJ/mol of atoms
Size of the total moment ... 0.00 μB/f.u.
Uncorrected energy ... -64.3 eV per cell
Crystal system ... trigonal
SG ... R-3m, No. 166

---

15.
Pr2InAu6 | PBE | relaxed

a = 5.5664 Å, b = 6.5194 Å, c = 6.5194 Å
α = 60.06°, β = 90.04°, γ = 90.04°
Sites, in units of the cell vectors:
Pr (0.8288, 0.6667, 0.6667)
Pr (0.1712, 0.3333, 0.3333)
In (0.0000, 0.0000, 0.0000)
Au (0.3222, 0.3738, 0.8129)
Au (0.3228, 0.8133, 0.8133)
Au (0.3222, 0.8129, 0.3738)
Au (0.6778, 0.6262, 0.1871)
Au (0.6772, 0.1867, 0.1867)
Au (0.6778, 0.1871, 0.6262)

## Properties
Formation enthalpy at 0 K ... -56.71 kJ/mol of atoms
Size of the total moment ... 0.00 μB/f.u.
Uncorrected energy ... -37.3 eV per cell
Crystal system ... trigonal
SG ... P-3m1, No. 164

---

16.
PrIn3Au2 | PBE | relaxed

a = 4.5251 Å, b = 8.8878 Å, c = 8.7388 Å
α = 119.54°, β = 90.00°, γ = 104.75°
Sites, in units of the cell vectors:
Pr (0.8719, 0.7438, 0.8764)
Pr (0.1281, 0.2562, 0.1236)
In (0.3277, 0.6553, 0.5288)
In (0.9938, 0.9876, 0.6508)
In (0.6680, 0.3361, 0.8631)
In (0.3320, 0.6639, 0.1369)
In (0.0062, 0.0124, 0.3492)
In (0.6723, 0.3447, 0.4712)
Au (0.4990, 0.9979, 0.8411)
Au (0.5010, 0.0021, 0.1589)
Au (0.7893, 0.5787, 0.2886)
Au (0.2107, 0.4213, 0.7114)

## Properties
Formation enthalpy at 0 K ... -45.13 kJ/mol of atoms
Size of the total moment ... 0.00 μB/f.u.
Uncorrected energy ... -44.7 eV per cell
Crystal system ... monoclinic
SG ... C2/m, No. 12

---

17.
Pr4InAu2 | PBE | relaxed

a = 5.1721 Å, b = 5.1721 Å, c = 10.0252 Å
α = 75.05°, β = 75.05°, γ = 60.00°
Sites, in units of the cell vectors:
Pr (0.3799, 0.3799, 0.8603)
Pr (0.2079, 0.2079, 0.3762)
Pr (0.7921, 0.7921, 0.6238)
Pr (0.6201, 0.6201, 0.1397)
In (0.0000, 0.0000, 0.0000)
Au (0.1024, 0.1024, 0.6929)
Au (0.8976, 0.8976, 0.3071)

## Properties
Formation enthalpy at 0 K ... -41.28 kJ/mol of atoms
Size of the total moment ... 0.00 μB/f.u.
Uncorrected energy ... -31.4 eV per cell
Crystal system ... trigonal
SG ... R-3m, No. 166

---

18.
Pr2InAu3 | PBE | relaxed

a = 6.0331 Å, b = 6.0331 Å, c = 9.1597 Å
α = 103.74°, β = 103.74°, γ = 106.19°
Sites, in units of the cell vectors:
Pr (0.2500, 0.7500, 0.5000)
Pr (0.7593, 0.7593, 0.0000)
Pr (0.7500, 0.2500, 0.5000)
Pr (0.2407, 0.2407, 0.0000)
In (0.6661, 0.6661, 0.3322)
In (0.3339, 0.3339, 0.6678)
Au (0.3356, 0.8309, 0.1665)
Au (0.1691, 0.6644, 0.8335)
Au (0.6644, 0.1691, 0.8335)
Au (0.8309, 0.3356, 0.1665)
Au (0.1685, 0.1685, 0.3369)
Au (0.8315, 0.8315, 0.6631)

## Properties
Formation enthalpy at 0 K ... -67.64 kJ/mol of atoms
Size of the total moment ... 0.00 μB/f.u.
Uncorrected energy ... -52.7 eV per cell
Crystal system ... orthorhombic
SG ... Fmmm, No. 69
Distance to the lowest polymorph of the same formula ... 0 meV/atom

---

19.
Pr12In3Au | PBE | relaxed

a = 5.0090 Å, b = 5.0090 Å, c = 19.8747 Å
α = 90.00°, β = 90.00°, γ = 90.00°
Sites, in units of the cell vectors:
Pr (0.5000, 0.5000, 0.0000)
Pr (0.5000, 0.5000, 0.2450)
Pr (0.5000, 0.5000, 0.5000)
Pr (0.5000, 0.5000, 0.7550)
Pr (0.5000, 0.0000, 0.1198)
Pr (0.5000, 0.0000, 0.3728)
Pr (0.5000, 0.0000, 0.6272)
Pr (0.5000, 0.0000, 0.8802)
Pr (0.0000, 0.5000, 0.1198)
Pr (0.0000, 0.5000, 0.3728)
Pr (0.0000, 0.5000, 0.6272)
Pr (0.0000, 0.5000, 0.8802)
In (0.0000, 0.0000, 0.2459)
In (0.0000, 0.0000, 0.5000)
In (0.0000, 0.0000, 0.7541)
Au (0.0000, 0.0000, 0.0000)

## Properties
Formation enthalpy at 0 K ... -25.56 kJ/mol of atoms
Size of the total moment ... 0.00 μB/f.u.
Uncorrected energy ... -73.1 eV per cell
Crystal system ... tetragonal
SG ... P4/mmm, No. 123

---

20.
Pr3In2Au7 | PBE | relaxed

a = 4.3555 Å, b = 4.3555 Å, c = 15.4768 Å
α = 98.09°, β = 98.09°, γ = 90.00°
Sites, in units of the cell vectors:
Pr (0.3220, 0.3220, 0.6440)
Pr (0.6780, 0.6780, 0.3560)
Pr (0.5000, 0.5000, 0.0000)
In (0.1311, 0.1311, 0.2623)
In (0.8689, 0.8689, 0.7377)
Au (0.0000, 0.0000, 0.0000)
Au (0.9257, 0.4257, 0.8514)
Au (0.4257, 0.9257, 0.8514)
Au (0.0743, 0.5743, 0.1486)
Au (0.5743, 0.0743, 0.1486)
Au (0.2229, 0.2229, 0.4458)
Au (0.7771, 0.7771, 0.5542)

## Properties
Formation enthalpy at 0 K ... -44.59 kJ/mol of atoms
Size of the total moment ... 0.00 μB/f.u.
Uncorrected energy ... -48.3 eV per cell
Crystal system ... tetragonal
SG ... I4/mmm, No. 139